Compound: Ac2MnSi3Au12
Source: Alexandria
Functional: GGA-PBE
Structure: relaxed

Cell: 8.136 8.136 8.136 Å, 66.40 66.40 66.40°
Fractional positions:
Au1 0.128 0.128 0.632
Au2 0.140 0.683 0.683
Au3 0.632 0.128 0.128
Au4 0.128 0.632 0.128
Au5 0.872 0.368 0.872
Au6 0.872 0.872 0.368
Au7 0.683 0.683 0.140
Au8 0.317 0.860 0.317
Au9 0.317 0.317 0.860
Au10 0.368 0.872 0.872
Au11 0.683 0.140 0.683
Au12 0.860 0.317 0.317
Si1 0.500 0.000 0.000
Si2 0.000 0.500 0.000
Si3 0.000 0.000 0.500
Ac1 0.609 0.609 0.609
Ac2 0.391 0.391 0.391
Mn1 0.000 0.000 0.000

## Properties
Its crystal system is trigonal. The value obtained for the raw formation energy is -0.12 eV per atom. As for the uncorrected energy: -4.175 eV/atom.